DFT (GGA+U) results for Cr3Fe2O12 after structural relaxation.

a = 9.188 Å, b = 9.105 Å, c = 12.604 Å
α = 90.00°, β = 90.00°, γ = 90.00°
Element x y z (fractional)
O  0.872  0.135  0.561
O  0.505  0.677  0.265
O  0.169  0.076  0.590
O  0.922  0.170  0.973
O  0.128  0.365  0.061
O  0.906  0.420  0.646
O  0.128  0.865  0.439
O  0.495  0.823  0.765
O  0.422  0.830  0.973
O  0.831  0.424  0.090
O  0.406  0.580  0.646
O  0.628  0.635  0.061
O  0.669  0.424  0.910
O  0.078  0.830  0.027
O  0.406  0.080  0.854
O  0.289  0.861  0.176
O  0.669  0.924  0.590
O  0.995  0.177  0.765
O  0.711  0.639  0.676
O  0.372  0.865  0.561
O  0.211  0.361  0.676
O  0.289  0.361  0.324
O  0.078  0.330  0.473
O  0.578  0.670  0.473
O  0.331  0.076  0.410
O  0.995  0.677  0.735
O  0.005  0.823  0.235
O  0.094  0.580  0.354
O  0.094  0.080  0.146
O  0.594  0.920  0.146
O  0.906  0.920  0.854
O  0.505  0.177  0.235
O  0.331  0.576  0.090
O  0.578  0.170  0.027
O  0.872  0.635  0.939
O  0.005  0.323  0.265
O  0.169  0.576  0.910
O  0.789  0.139  0.176
O  0.831  0.924  0.410
O  0.594  0.420  0.354
O  0.922  0.670  0.527
O  0.711  0.139  0.824
O  0.422  0.330  0.527
O  0.211  0.861  0.824
O  0.789  0.639  0.324
O  0.495  0.323  0.735
O  0.628  0.135  0.439
O  0.372  0.365  0.939
Cr  0.384  0.398  0.646
Cr  0.384  0.898  0.854
Cr  0.884  0.102  0.854
Cr  0.116  0.898  0.146
Cr  0.750  0.530  0.000
Cr  0.616  0.102  0.146
Cr  0.750  0.030  0.500
Cr  0.616  0.602  0.354
Cr  0.250  0.970  0.500
Cr  0.250  0.470  0.000
Cr  0.116  0.398  0.354
Cr  0.884  0.602  0.646
Fe  0.038  0.750  0.881
Fe  0.962  0.250  0.119
Fe  0.962  0.750  0.381
Fe  0.462  0.250  0.381
Fe  0.538  0.750  0.619
Fe  0.538  0.250  0.881
Fe  0.462  0.750  0.119
Fe  0.038  0.250  0.619

Results
Space-group type   Pbcn, No. 60
Spin magnetization   40.58 μB/cell
D(E_F)   0.000 states/eV per atom
E   -6.732 eV/atom